No. 1
Computed, not measured: a geometry-optimized ScTlOs2 structure at the PBE-GGA level of DFT.

Values from the calculation:
Uncorrected energy = -7.27 eV per atom

a b c (Å): 6.529 6.529 6.529
angles (deg): 90.00 90.00 90.00
Space group F-43m (No. 216)
Asymmetric unit:
Sc1 0.000 0.000 0.000
Tl1 0.250 0.250 0.750
Os1 0.000 0.000 0.500
Os2 0.250 0.250 0.250

***

No. 2
Computed, not measured: a geometry-optimized ZrBeIr structure at the PBE-GGA level of DFT.

Values from the calculation:
Excess energy over the best structure of this formula in the dataset = 0.0000 eV/atom

a b c (Å): 6.336 3.823 7.417
angles (deg): 90.00 90.00 90.00
Space group Pnma (No. 62)
Asymmetric unit:
Zr1 0.022 0.250 0.187
Be1 0.204 0.750 0.387
Ir1 0.172 0.250 0.566

***

No. 3
Computed, not measured: a geometry-optimized KCuPdSe3 structure at the PBE-GGA level of DFT.

Values from the calculation:
Excess energy over the best structure of this formula in the dataset = 0.0159 eV/atom

a b c (Å): 13.966 3.965 10.487
angles (deg): 90.00 90.00 90.00
Space group Pnma (No. 62)
Asymmetric unit:
K1 0.119 0.250 0.034
Cu1 0.169 0.750 0.315
Pd1 0.087 0.750 0.704
Se1 0.012 0.750 0.227
Se2 0.190 0.250 0.651
Se3 0.227 0.250 0.417

***

No. 4
Computed, not measured: a geometry-optimized RbTaCuSeS2 structure at the PBE-GGA level of DFT.

Values from the calculation:
Uncorrected energy = -5.54 eV per atom

a b c (Å): 3.617 15.566 9.801
angles (deg): 90.00 90.00 90.00
Space group Cmcm (No. 63)
Asymmetric unit:
Rb1 0.000 0.240 0.250
Ta1 0.000 0.000 0.000
Cu1 0.000 0.468 0.750
Se1 0.000 0.073 0.750
S1 0.000 0.393 0.554

***

No. 5
Computed, not measured: a geometry-optimized ThPaAl structure at the PBE-GGA level of DFT.

Values from the calculation:
Excess energy over the best structure of this formula in the dataset = 0.0000 eV/atom

a b c (Å): 7.006 7.006 7.006
angles (deg): 90.00 90.00 90.00
Space group F-43m (No. 216)
Asymmetric unit:
Th1 0.000 0.000 0.000
Pa1 0.000 0.000 0.500
Al1 0.250 0.250 0.750

***

No. 6
Computed, not measured: a geometry-optimized GdYAl4Cu2 structure at the PBE-GGA level of DFT.

Values from the calculation:
Uncorrected energy = -4.63 eV per atom

a b c (Å): 6.826 4.182 10.279
angles (deg): 90.00 90.00 90.00
Space group Amm2 (No. 38)
Asymmetric unit:
Gd1 0.000 0.000 0.000
Y1 0.500 0.000 0.134
Al1 0.196 0.000 0.712
Al2 0.305 0.000 0.422
Cu1 0.000 0.000 0.283
Cu2 0.500 0.000 0.852